Entry 1:
Computed, not measured: Fe2HgRu after structural relaxation at the PBE level of DFT.

Lattice parameters (Å, degrees): 4.5518 4.5518 2.9495 90.00 90.00 104.31
Atoms (fractional coordinates):
Fe: 0.0000 0.5000 0.0000
Fe: 0.5000 0.0000 0.0000
Hg: 0.0000 0.0000 0.5000
Ru: 0.5000 0.5000 0.5000

Properties
E_form ... 421 meV per atom
Uncorrected energy ... -6.205 eV per atom

=====

Entry 2:
Computed, not measured: SrTlPb3 after structural relaxation at the PBE level of DFT.

Lattice parameters (Å, degrees): 11.8167 11.8167 11.8167 148.36 148.36 45.35
Atoms (fractional coordinates):
Sr: 0.2126 0.2126 0.0000
Sr: 0.7874 0.7874 0.0000
Tl: 0.2500 0.7500 0.5000
Tl: 0.5000 0.5000 0.0000
Pb: 0.3693 0.1253 0.7560
Pb: 0.3693 0.6133 0.2440
Pb: 0.3867 0.6307 0.7560
Pb: 0.6666 0.1666 0.5000
Pb: 0.8334 0.3334 0.5000
Pb: 0.8747 0.6307 0.2440

Properties
E_form ... 13 meV per atom
Uncorrected energy ... -3.022 eV per atom

=====

Entry 3:
Computed, not measured: MgGePd after structural relaxation at the PBE level of DFT.

Lattice parameters (Å, degrees): 4.4997 4.9958 5.2543 89.70 67.32 79.51
Atoms (fractional coordinates):
Mg: 0.1678 0.2097 0.2948
Mg: 0.8322 0.7903 0.7052
Ge: 0.4396 0.3199 0.6897
Ge: 0.5604 0.6801 0.3103
Pd: 0.1520 0.7110 0.0875
Pd: 0.8480 0.2890 0.9125

Properties
E_form ... -455 meV per atom
Uncorrected energy ... -4.257 eV per atom

=====

Entry 4:
Computed, not measured: GaBr after structural relaxation at the PBE level of DFT.

Lattice parameters (Å, degrees): 5.3351 5.3351 6.2723 90.00 90.00 120.00
Atoms (fractional coordinates):
Ga: 0.3333 0.6667 0.2500
Ga: 0.6667 0.3333 0.7500
Br: 0.3333 0.6667 0.7500
Br: 0.6667 0.3333 0.2500

Properties
Uncorrected energy ... -2.843 eV per atom

=====

Entry 5:
Computed, not measured: Er5Tm2Pb4 after structural relaxation at the PBE level of DFT.

Lattice parameters (Å, degrees): 12.3897 12.3897 7.9087 93.18 93.18 15.94
Atoms (fractional coordinates):
Er: 0.0000 0.0000 0.0000
Er: 0.2660 0.2660 0.1858
Er: 0.3591 0.3591 0.8661
Er: 0.6409 0.6409 0.1339
Er: 0.7340 0.7340 0.8142
Tm: 0.4070 0.4070 0.2827
Tm: 0.5930 0.5930 0.7173
Pb: 0.1811 0.1811 0.4825
Pb: 0.4633 0.4633 0.6574
Pb: 0.5367 0.5367 0.3426
Pb: 0.8189 0.8189 0.5175

Properties
E_form ... -82 meV per atom
Uncorrected energy ... -4.317 eV per atom

=====

Entry 6:
Computed, not measured: LiIn2I5 after structural relaxation at the PBE level of DFT.

Lattice parameters (Å, degrees): 9.4810 9.4810 17.9054 90.00 90.00 152.82
Atoms (fractional coordinates):
Li: 0.1371 0.8629 0.7500
Li: 0.8629 0.1371 0.2500
In: 0.0910 0.9090 0.1715
In: 0.0910 0.9090 0.3285
In: 0.9090 0.0910 0.6715
In: 0.9090 0.0910 0.8285
I: 0.0513 0.9487 0.6181
I: 0.0513 0.9487 0.8819
I: 0.2786 0.7214 0.2500
I: 0.3459 0.6541 0.5898
I: 0.3459 0.6541 0.9102
I: 0.6541 0.3459 0.0898
I: 0.6541 0.3459 0.4102
I: 0.7214 0.2786 0.7500
I: 0.9487 0.0513 0.1181
I: 0.9487 0.0513 0.3819

Properties
Uncorrected energy ... -2.504 eV per atom

=====

Entry 7:
Computed, not measured: SrNiCl2 after structural relaxation at the PBE level of DFT.

Lattice parameters (Å, degrees): 4.9403 4.9403 4.9403 60.00 60.00 60.00
Atoms (fractional coordinates):
Sr: 0.0000 0.0000 0.0000
Ni: 0.5000 0.5000 0.5000
Cl: 0.2500 0.2500 0.2500
Cl: 0.7500 0.7500 0.7500

Properties
Uncorrected energy ... -3.615 eV per atom

=====

Entry 8:
Computed, not measured: ScTl2Sb2 after structural relaxation at the PBE level of DFT.

Lattice parameters (Å, degrees): 7.5235 7.5235 5.3621 90.00 90.00 90.00
Atoms (fractional coordinates):
Sc: 0.0000 0.0000 0.0000
Sc: 0.5000 0.5000 0.0000
Tl: 0.1842 0.3158 0.5000
Tl: 0.3158 0.8158 0.5000
Tl: 0.6842 0.1842 0.5000
Tl: 0.8158 0.6842 0.5000
Sb: 0.1364 0.6364 0.0000
Sb: 0.3636 0.1364 0.0000
Sb: 0.6364 0.8636 0.0000
Sb: 0.8636 0.3636 0.0000

Properties
Uncorrected energy ... -4.026 eV per atom